VASP calculation (GGA-PBE) on TlCo2 after structural relaxation.

The structure in POSCAR format:
```
TlCo2
1.0
4.760 -1.514 0.000
4.760 1.514 0.000
-0.336 0.000 6.787
Tl Co
2 4
direct
0.000 0.000 0.000 Tl
0.241 0.241 0.655 Tl
0.287 0.287 0.194 Co
0.512 0.512 0.658 Co
0.615 0.615 0.320 Co
0.918 0.918 0.405 Co
```

## Properties
- raw total energy (eV/atom) = -5.01
- magnetization (μB per cell) = 6.4
- volume (A^3/atom) = 16.31